# Li2CrO3 (PBE with a Hubbard U, optimized geometry)
# Calculated volume (Å³/atom): 8.8
# Energy (eV/cell): -149.79
# ρ (g cm⁻³): 3.569
data_Li2CrO3
_chemical_formula_sum 'Li8 Cr4 O12'
_space_group_name_H-M_alt 'P 1'
_space_group_IT_number 1
_space_group_name_Hall 'P 1'
_cell_length_a 2.922
_cell_length_b 9.775
_cell_length_c 7.653
_cell_angle_alpha 85.11
_cell_angle_beta 79.35
_cell_angle_gamma 81.25
loop_
_atom_site_label
_atom_site_fract_x
_atom_site_fract_y
_atom_site_fract_z
_atom_site_occupancy
Li1 0.325 0.250 0.083 1
O1 0.843 0.618 0.693 1
O2 0.497 0.386 0.608 1
O3 0.836 0.117 0.194 1
Li2 0.331 0.000 0.334 1
Cr1 0.009 0.503 0.514 1
O4 0.826 0.883 0.473 1
O5 0.146 0.892 0.787 1
O6 0.816 0.382 0.973 1
Li3 0.334 0.750 0.583 1
Cr2 0.662 0.997 0.653 1
Li4 0.987 0.258 0.757 1
Li5 0.991 0.757 0.256 1
Cr3 0.690 0.497 0.152 1
O7 0.150 0.614 0.058 1
O8 0.525 0.607 0.379 1
Li6 0.337 0.500 0.833 1
O9 0.487 0.886 0.108 1
O10 0.180 0.393 0.287 1
Li7 0.664 0.242 0.411 1
O11 0.516 0.108 0.880 1
Li8 0.673 0.742 0.910 1
Cr4 0.000 0.003 0.014 1
O12 0.174 0.114 0.559 1